(1)
# SCAN NbCF2, single point on PBEsol structure
data_NbCF2
_chemical_formula_sum 'Nb1 C1 F2'
_symmetry_space_group_name_H-M 'P 1'
_symmetry_Int_Tables_number 1
_symmetry_space_group_name_Hall 'P 1'
_cell_length_a 9.346
_cell_length_b 9.346
_cell_length_c 9.346
_cell_angle_alpha 17.81
_cell_angle_beta 17.81
_cell_angle_gamma 17.81
loop_
_atom_site_label
_atom_site_fract_x
_atom_site_fract_y
_atom_site_fract_z
Nb1 0.000 0.000 0.000
C1 0.500 0.500 0.500
F1 0.068 0.068 0.068
F2 0.932 0.932 0.932
# **SG**: R-3m
# **Crystal system**: trigonal
# **Raw total energy**: -12.2875 eV per atom
# **Raw formation energy**: 0.290 eV per atom

(2)
# SCAN NbCO2F, single point on PBEsol structure
data_NbCO2F
_chemical_formula_sum 'Nb1 C1 O2 F1'
_symmetry_space_group_name_H-M 'P 1'
_symmetry_Int_Tables_number 1
_symmetry_space_group_name_Hall 'P 1'
_cell_length_a 3.928
_cell_length_b 3.928
_cell_length_c 4.089
_cell_angle_alpha 90.00
_cell_angle_beta 90.00
_cell_angle_gamma 90.00
loop_
_atom_site_label
_atom_site_fract_x
_atom_site_fract_y
_atom_site_fract_z
Nb1 0.000 0.000 0.000
C1 0.500 0.500 0.500
O1 0.000 0.500 0.000
O2 0.500 0.000 0.000
F1 0.000 0.000 0.500
# **SG**: P4/mmm
# **Crystal system**: tetragonal
# **Raw total energy**: -12.5407 eV per atom
# **Raw formation energy**: -0.694 eV per atom

(3)
# SCAN Ni3CF, single point on PBEsol structure
data_Ni3CF
_chemical_formula_sum 'Ni3 C1 F1'
_symmetry_space_group_name_H-M 'P 1'
_symmetry_Int_Tables_number 1
_symmetry_space_group_name_Hall 'P 1'
_cell_length_a 3.693
_cell_length_b 3.693
_cell_length_c 3.693
_cell_angle_alpha 90.00
_cell_angle_beta 90.00
_cell_angle_gamma 90.00
loop_
_atom_site_label
_atom_site_fract_x
_atom_site_fract_y
_atom_site_fract_z
Ni1 0.000 0.000 0.500
Ni2 0.000 0.500 0.000
Ni3 0.500 0.000 0.000
C1 0.000 0.000 0.000
F1 0.500 0.500 0.500
# **SG**: Pm-3m
# **Crystal system**: cubic
# **Raw total energy**: -12.3686 eV per atom
# **Raw formation energy**: 0.063 eV per atom

(4)
# SCAN Ni2PCF, single point on PBEsol structure
data_Ni2PCF
_chemical_formula_sum 'Ni2 P1 C1 F1'
_symmetry_space_group_name_H-M 'P 1'
_symmetry_Int_Tables_number 1
_symmetry_space_group_name_Hall 'P 1'
_cell_length_a 4.245
_cell_length_b 4.245
_cell_length_c 3.412
_cell_angle_alpha 90.00
_cell_angle_beta 90.00
_cell_angle_gamma 90.00
loop_
_atom_site_label
_atom_site_fract_x
_atom_site_fract_y
_atom_site_fract_z
Ni1 0.000 0.500 0.000
Ni2 0.500 0.000 0.000
P1 0.000 0.000 0.000
C1 0.000 0.000 0.500
F1 0.500 0.500 0.500
# **SG**: P4/mmm
# **Crystal system**: tetragonal
# **Raw total energy**: -10.5845 eV per atom
# **Raw formation energy**: 0.693 eV per atom

(5)
# SCAN NiSbCF2, single point on PBEsol structure
data_NiSbCF2
_chemical_formula_sum 'Ni1 Sb1 C1 F2'
_symmetry_space_group_name_H-M 'P 1'
_symmetry_Int_Tables_number 1
_symmetry_space_group_name_Hall 'P 1'
_cell_length_a 3.791
_cell_length_b 3.791
_cell_length_c 4.126
_cell_angle_alpha 90.00
_cell_angle_beta 90.00
_cell_angle_gamma 90.00
loop_
_atom_site_label
_atom_site_fract_x
_atom_site_fract_y
_atom_site_fract_z
Ni1 0.000 0.000 0.000
Sb1 0.500 0.500 0.500
C1 0.000 0.000 0.500
F1 0.000 0.500 0.000
F2 0.500 0.000 0.000
# **SG**: P4/mmm
# **Crystal system**: tetragonal
# **Raw total energy**: -14.3722 eV per atom
# **Raw formation energy**: -0.249 eV per atom

(6)
# SCAN PbCO2F, single point on PBEsol structure
data_PbCO2F
_chemical_formula_sum 'Pb1 C1 O2 F1'
_symmetry_space_group_name_H-M 'P 1'
_symmetry_Int_Tables_number 1
_symmetry_space_group_name_Hall 'P 1'
_cell_length_a 4.182
_cell_length_b 4.182
_cell_length_c 4.256
_cell_angle_alpha 90.00
_cell_angle_beta 90.00
_cell_angle_gamma 90.00
loop_
_atom_site_label
_atom_site_fract_x
_atom_site_fract_y
_atom_site_fract_z
Pb1 0.000 0.000 0.000
C1 0.500 0.500 0.500
O1 0.000 0.500 0.000
O2 0.500 0.000 0.000
F1 0.000 0.000 0.500
# **SG**: P4/mmm
# **Crystal system**: tetragonal
# **Raw total energy**: -19.5400 eV per atom
# **Raw formation energy**: 0.837 eV per atom

(7)
# SCAN RbCOF3, single point on PBEsol structure
data_RbCOF3
_chemical_formula_sum 'Rb4 C4 O4 F12'
_symmetry_space_group_name_H-M 'P 1'
_symmetry_Int_Tables_number 1
_symmetry_space_group_name_Hall 'P 1'
_cell_length_a 5.659
_cell_length_b 7.342
_cell_length_c 8.897
_cell_angle_alpha 90.00
_cell_angle_beta 91.01
_cell_angle_gamma 90.00
loop_
_atom_site_label
_atom_site_fract_x
_atom_site_fract_y
_atom_site_fract_z
Rb1 0.229 0.157 0.177
Rb2 0.229 0.343 0.677
Rb3 0.771 0.657 0.323
Rb4 0.771 0.843 0.823
C1 0.237 0.705 0.071
C2 0.237 0.795 0.571
C3 0.763 0.205 0.429
C4 0.763 0.295 0.929
O1 0.057 0.703 0.588
O2 0.057 0.797 0.088
O3 0.943 0.203 0.912
O4 0.943 0.297 0.412
F1 0.263 0.617 0.930
F2 0.263 0.883 0.430
F3 0.276 0.561 0.175
F4 0.276 0.939 0.675
F5 0.459 0.697 0.584
F6 0.459 0.803 0.084
F7 0.541 0.197 0.916
F8 0.541 0.303 0.416
F9 0.724 0.061 0.325
F10 0.724 0.439 0.825
F11 0.737 0.117 0.570
F12 0.737 0.383 0.070
# **SG**: P2_1/c
# **Crystal system**: monoclinic
# **Raw total energy**: -10.0531 eV per atom
# **Raw formation energy**: -2.105 eV per atom

(8)
# SCAN RbCOF2, single point on PBEsol structure
data_RbCOF2
_chemical_formula_sum 'Rb1 C1 O1 F2'
_symmetry_space_group_name_H-M 'P 1'
_symmetry_Int_Tables_number 1
_symmetry_space_group_name_Hall 'P 1'
_cell_length_a 4.439
_cell_length_b 4.439
_cell_length_c 2.980
_cell_angle_alpha 90.00
_cell_angle_beta 90.00
_cell_angle_gamma 90.00
loop_
_atom_site_label
_atom_site_fract_x
_atom_site_fract_y
_atom_site_fract_z
Rb1 0.000 0.000 0.000
C1 0.500 0.500 0.500
O1 0.500 0.500 0.000
F1 0.000 0.500 0.500
F2 0.500 0.000 0.500
# **SG**: P4/mmm
# **Crystal system**: tetragonal
# **Raw total energy**: -9.4377 eV per atom
# **Raw formation energy**: -0.608 eV per atom

(9)
# SCAN RbSrCO3F, single point on PBEsol structure
data_RbSrCO3F
_chemical_formula_sum 'Rb1 Sr1 C1 O3 F1'
_symmetry_space_group_name_H-M 'P 1'
_symmetry_Int_Tables_number 1
_symmetry_space_group_name_Hall 'P 1'
_cell_length_a 5.276
_cell_length_b 5.276
_cell_length_c 4.767
_cell_angle_alpha 90.00
_cell_angle_beta 90.00
_cell_angle_gamma 120.00
loop_
_atom_site_label
_atom_site_fract_x
_atom_site_fract_y
_atom_site_fract_z
Rb1 0.000 0.000 0.000
Sr1 0.667 0.333 0.500
C1 0.333 0.667 0.500
O1 0.191 0.383 0.500
O2 0.191 0.809 0.500
O3 0.617 0.809 0.500
F1 0.667 0.333 0.000
# **SG**: P-6m2
# **Crystal system**: hexagonal
# **Raw total energy**: -13.3708 eV per atom
# **Raw formation energy**: -2.607 eV per atom

(10)
# SCAN SiCOF2, single point on PBEsol structure
data_SiCOF2
_chemical_formula_sum 'Si1 C1 O1 F2'
_symmetry_space_group_name_H-M 'P 1'
_symmetry_Int_Tables_number 1
_symmetry_space_group_name_Hall 'P 1'
_cell_length_a 3.763
_cell_length_b 3.763
_cell_length_c 3.297
_cell_angle_alpha 90.00
_cell_angle_beta 90.00
_cell_angle_gamma 90.00
loop_
_atom_site_label
_atom_site_fract_x
_atom_site_fract_y
_atom_site_fract_z
Si1 0.000 0.000 0.000
C1 0.500 0.500 0.500
O1 0.000 0.000 0.500
F1 0.000 0.500 0.000
F2 0.500 0.000 0.000
# **SG**: P4/mmm
# **Crystal system**: tetragonal
# **Raw total energy**: -7.1971 eV per atom
# **Raw formation energy**: -0.512 eV per atom

(11)
# SCAN SiCO2F, single point on PBEsol structure
data_SiCO2F
_chemical_formula_sum 'Si1 C1 O2 F1'
_symmetry_space_group_name_H-M 'P 1'
_symmetry_Int_Tables_number 1
_symmetry_space_group_name_Hall 'P 1'
_cell_length_a 3.476
_cell_length_b 3.476
_cell_length_c 3.540
_cell_angle_alpha 90.00
_cell_angle_beta 90.00
_cell_angle_gamma 90.00
loop_
_atom_site_label
_atom_site_fract_x
_atom_site_fract_y
_atom_site_fract_z
Si1 0.000 0.000 0.000
C1 0.500 0.500 0.500
O1 0.000 0.500 0.000
O2 0.500 0.000 0.000
F1 0.000 0.000 0.500
# **SG**: P4/mmm
# **Crystal system**: tetragonal
# **Raw total energy**: -7.7116 eV per atom
# **Raw formation energy**: -0.488 eV per atom

(12)
# SCAN TaC2OF, single point on PBEsol structure
data_TaC2OF
_chemical_formula_sum 'Ta1 C2 O1 F1'
_symmetry_space_group_name_H-M 'P 1'
_symmetry_Int_Tables_number 1
_symmetry_space_group_name_Hall 'P 1'
_cell_length_a 4.163
_cell_length_b 4.163
_cell_length_c 3.966
_cell_angle_alpha 90.00
_cell_angle_beta 90.00
_cell_angle_gamma 90.00
loop_
_atom_site_label
_atom_site_fract_x
_atom_site_fract_y
_atom_site_fract_z
Ta1 0.000 0.000 0.000
C1 0.000 0.500 0.000
C2 0.500 0.000 0.000
O1 0.500 0.500 0.500
F1 0.000 0.000 0.500
# **SG**: P4/mmm
# **Crystal system**: tetragonal
# **Raw total energy**: -18.2451 eV per atom
# **Raw formation energy**: 1.066 eV per atom

(13)
# SCAN Tl3CO3F, single point on PBEsol structure
data_Tl3CO3F
_chemical_formula_sum 'Tl6 C2 O6 F2'
_symmetry_space_group_name_H-M 'P 1'
_symmetry_Int_Tables_number 1
_symmetry_space_group_name_Hall 'P 1'
_cell_length_a 7.450
_cell_length_b 5.927
_cell_length_c 7.450
_cell_angle_alpha 90.00
_cell_angle_beta 119.99
_cell_angle_gamma 90.00
loop_
_atom_site_label
_atom_site_fract_x
_atom_site_fract_y
_atom_site_fract_z
Tl1 0.087 0.250 0.338
Tl2 0.251 0.250 0.912
Tl3 0.339 0.750 0.251
Tl4 0.661 0.250 0.749
Tl5 0.749 0.750 0.088
Tl6 0.913 0.750 0.662
C1 0.334 0.750 0.667
C2 0.666 0.250 0.333
O1 0.171 0.750 0.483
O2 0.313 0.750 0.830
O3 0.482 0.250 0.312
O4 0.518 0.750 0.688
O5 0.687 0.250 0.170
O6 0.829 0.250 0.517
F1 0.000 0.000 0.000
F2 0.000 0.500 0.000
# **SG**: P2_1/m
# **Crystal system**: monoclinic
# **Raw total energy**: -32.5344 eV per atom
# **Raw formation energy**: -1.358 eV per atom

(14)
# SCAN WCO2F, single point on PBEsol structure
data_WCO2F
_chemical_formula_sum 'W1 C1 O2 F1'
_symmetry_space_group_name_H-M 'P 1'
_symmetry_Int_Tables_number 1
_symmetry_space_group_name_Hall 'P 1'
_cell_length_a 3.827
_cell_length_b 3.827
_cell_length_c 4.023
_cell_angle_alpha 90.00
_cell_angle_beta 90.00
_cell_angle_gamma 90.00
loop_
_atom_site_label
_atom_site_fract_x
_atom_site_fract_y
_atom_site_fract_z
W1 0.000 0.000 0.000
C1 0.500 0.500 0.500
O1 0.000 0.500 0.000
O2 0.500 0.000 0.000
F1 0.000 0.000 0.500
# **SG**: P4/mmm
# **Crystal system**: tetragonal
# **Raw total energy**: -19.3884 eV per atom
# **Raw formation energy**: -0.230 eV per atom

(15)
# SCAN POsC2F, single point on PBEsol structure
data_POsC2F
_chemical_formula_sum 'P1 Os1 C2 F1'
_symmetry_space_group_name_H-M 'P 1'
_symmetry_Int_Tables_number 1
_symmetry_space_group_name_Hall 'P 1'
_cell_length_a 3.846
_cell_length_b 3.846
_cell_length_c 4.715
_cell_angle_alpha 90.00
_cell_angle_beta 90.00
_cell_angle_gamma 90.00
loop_
_atom_site_label
_atom_site_fract_x
_atom_site_fract_y
_atom_site_fract_z
P1 0.000 0.000 0.000
Os1 0.000 0.000 0.500
C1 0.000 0.500 0.500
C2 0.500 0.000 0.500
F1 0.500 0.500 0.000
# **SG**: P4/mmm
# **Crystal system**: tetragonal
# **Raw total energy**: -20.1102 eV per atom
# **Raw formation energy**: 1.093 eV per atom

(16)
# SCAN PCF2, single point on PBEsol structure
data_PCF2
_chemical_formula_sum 'P2 C2 F4'
_symmetry_space_group_name_H-M 'P 1'
_symmetry_Int_Tables_number 1
_symmetry_space_group_name_Hall 'P 1'
_cell_length_a 5.504
_cell_length_b 5.504
_cell_length_c 5.504
_cell_angle_alpha 60.00
_cell_angle_beta 60.00
_cell_angle_gamma 60.00
loop_
_atom_site_label
_atom_site_fract_x
_atom_site_fract_y
_atom_site_fract_z
P1 0.125 0.125 0.125
P2 0.875 0.875 0.875
C1 0.375 0.375 0.375
C2 0.625 0.625 0.625
F1 0.000 0.500 0.500
F2 0.500 0.000 0.500
F3 0.500 0.500 0.000
F4 0.500 0.500 0.500
# **SG**: Fd-3m
# **Crystal system**: cubic
# **Raw total energy**: -5.6391 eV per atom
# **Polymorph energy (0 for the lowest one)**: 0.921 eV per atom
# **Raw formation energy**: 1.255 eV per atom

(17)
# SCAN PCF2, single point on PBEsol structure
data_PCF2
_chemical_formula_sum 'P1 C1 F2'
_symmetry_space_group_name_H-M 'P 1'
_symmetry_Int_Tables_number 1
_symmetry_space_group_name_Hall 'P 1'
_cell_length_a 9.502
_cell_length_b 9.502
_cell_length_c 9.502
_cell_angle_alpha 14.59
_cell_angle_beta 14.59
_cell_angle_gamma 14.59
loop_
_atom_site_label
_atom_site_fract_x
_atom_site_fract_y
_atom_site_fract_z
P1 0.000 0.000 0.000
C1 0.500 0.500 0.500
F1 0.057 0.057 0.057
F2 0.943 0.943 0.943
# **SG**: R-3m
# **Crystal system**: trigonal
# **Raw total energy**: -6.5604 eV per atom
# **Polymorph energy (0 for the lowest one)**: 0.000 eV per atom
# **Raw formation energy**: 0.334 eV per atom

(18)
# SCAN PbC2F, single point on PBEsol structure
data_PbC2F
_chemical_formula_sum 'Pb2 C4 F2'
_symmetry_space_group_name_H-M 'P 1'
_symmetry_Int_Tables_number 1
_symmetry_space_group_name_Hall 'P 1'
_cell_length_a 10.854
_cell_length_b 10.854
_cell_length_c 10.854
_cell_angle_alpha 163.22
_cell_angle_beta 163.22
_cell_angle_gamma 23.82
loop_
_atom_site_label
_atom_site_fract_x
_atom_site_fract_y
_atom_site_fract_z
Pb1 0.375 0.625 0.750
Pb2 0.625 0.375 0.250
C1 0.000 0.000 0.000
C2 0.000 0.000 0.500
C3 0.000 0.500 0.000
C4 0.500 0.000 0.500
F1 0.125 0.875 0.250
F2 0.875 0.125 0.750
# **SG**: I4_1/amd
# **Crystal system**: tetragonal
# **Raw total energy**: -23.7213 eV per atom
# **Raw formation energy**: 1.159 eV per atom

(19)
# SCAN Pb2CF, single point on PBEsol structure
data_Pb2CF
_chemical_formula_sum 'Pb2 C1 F1'
_symmetry_space_group_name_H-M 'P 1'
_symmetry_Int_Tables_number 1
_symmetry_space_group_name_Hall 'P 1'
_cell_length_a 4.564
_cell_length_b 4.564
_cell_length_c 4.564
_cell_angle_alpha 60.00
_cell_angle_beta 60.00
_cell_angle_gamma 60.00
loop_
_atom_site_label
_atom_site_fract_x
_atom_site_fract_y
_atom_site_fract_z
Pb1 0.250 0.250 0.250
Pb2 0.750 0.750 0.750
C1 0.000 0.000 0.000
F1 0.500 0.500 0.500
# **SG**: Fm-3m
# **Crystal system**: cubic
# **Raw total energy**: -40.9637 eV per atom
# **Raw formation energy**: 0.337 eV per atom

(20)
# SCAN PbCF3, single point on PBEsol structure
data_PbCF3
_chemical_formula_sum 'Pb1 C1 F3'
_symmetry_space_group_name_H-M 'P 1'
_symmetry_Int_Tables_number 1
_symmetry_space_group_name_Hall 'P 1'
_cell_length_a 4.493
_cell_length_b 4.493
_cell_length_c 4.493
_cell_angle_alpha 90.00
_cell_angle_beta 90.00
_cell_angle_gamma 90.00
loop_
_atom_site_label
_atom_site_fract_x
_atom_site_fract_y
_atom_site_fract_z
Pb1 0.000 0.000 0.000
C1 0.500 0.500 0.500
F1 0.000 0.000 0.500
F2 0.000 0.500 0.000
F3 0.500 0.000 0.000
# **SG**: Pm-3m
# **Crystal system**: cubic
# **Raw total energy**: -19.3937 eV per atom
# **Raw formation energy**: -0.094 eV per atom